Record 1
The following is a DFT calculation (GGA-PBE) of KRbCe4S8 after structural relaxation.

```
KRbCe4S8
1.0
4.2176 2.4350 7.2307
-4.2176 2.4350 7.2307
0.0000 -4.8701 7.2307
K Rb Ce S
1 1 4 8
direct
0.0000 0.0000 0.0000
0.6304 0.6304 0.6304
0.3827 0.3827 0.3827
0.5094 0.9991 0.9991
0.9991 0.5094 0.9991
0.9991 0.9991 0.5094
0.1940 0.7496 0.7496
0.2446 0.2446 0.2446
0.2578 0.2578 0.7733
0.2578 0.7733 0.2578
0.7496 0.1940 0.7496
0.7496 0.7496 0.1940
0.7723 0.7723 0.7723
0.7733 0.2578 0.2578
```

Record 2
The following is a DFT calculation (GGA-PBE) of KRb2CeSe4 after structural relaxation.

```
KRb2CeSe4
1.0
8.1504 0.0000 0.0000
0.0000 4.4626 0.0000
-2.5951 0.0000 7.9159
K Rb Ce Se
1 2 1 4
direct
0.0000 0.0000 0.0000
0.0000 0.5000 0.5000
0.5000 0.0000 0.5000
0.5000 0.5000 0.0000
0.2822 0.5000 0.2047
0.2990 0.0000 0.8037
0.7010 0.0000 0.1963
0.7178 0.5000 0.7953
```

no.,energy (eV/cell)
1,-82.1
2,-32.8